SmPuSc | the Alexandria database | PBE | optimized geometry; VASP energy = -93.8 eV/cell; space-group type = Pbcm, No. 57; ΔE to the lowest computed polymorph = 0.5109 eV per atom
1.0
-4.464 -1.549 0.509
1.866 -5.002 1.146
0.350 2.752 11.443
Pu Sc Sm
4 4 4
Direct
0.750 0.000 0.502
0.250 0.000 0.498
0.750 0.000 0.002
0.250 0.000 0.998
0.000 0.001 0.250
0.500 0.999 0.750
0.000 0.999 0.750
0.500 0.001 0.250
0.750 0.499 0.885
0.250 0.501 0.115
0.750 0.501 0.385
0.250 0.499 0.615


Sm14PuSc | the Alexandria database | PBE | optimized geometry; VASP energy = -86.0 eV/cell; space-group type = C2/m, No. 12
1.0
7.046 -0.852 1.071
-2.679 6.572 -1.071
1.599 -1.220 12.244
Sm Pu Sc
14 1 1
Direct
0.375 0.625 0.500
0.875 0.125 0.500
0.875 0.625 0.000
0.875 0.625 0.500
0.375 0.125 0.000
0.375 0.125 0.500
0.625 0.876 0.757
0.626 0.874 0.244
0.124 0.375 0.757
0.126 0.374 0.244
0.123 0.877 0.752
0.126 0.874 0.248
0.624 0.376 0.752
0.627 0.373 0.247
0.875 0.125 0.000
0.375 0.625 0.000


SmPuSc | the Alexandria database | PBE | optimized geometry; VASP energy = -25.0 eV/cell; space-group type = I4mm, No. 107; ΔE to the lowest computed polymorph = 0.0000 eV per atom
1.0
3.441 0.000 0.000
0.000 3.441 0.000
-1.721 -1.721 7.125
Sc Sm Pu
1 1 1
Direct
0.612 0.612 0.223
0.282 0.282 0.563
0.957 0.957 0.914


SmPuSc4 | the Alexandria database | PBE | optimized geometry; VASP energy = -87.9 eV/cell; space-group type = Cmc2_1, No. 36
1.0
-0.407 -2.686 -1.934
2.047 -3.804 7.727
-10.457 -0.303 2.622
Sm Pu Sc
2 2 8
Direct
0.779 0.558 0.516
0.221 0.442 0.016
0.663 0.327 0.762
0.337 0.673 0.262
0.001 0.001 0.270
0.999 0.999 0.770
0.894 0.788 0.020
0.106 0.212 0.520
0.663 0.326 0.274
0.337 0.674 0.774
0.447 0.895 0.519
0.553 0.105 0.019


Number 1: ΔE_f 1.9 eV per formula unit, calculated volume 306 Å³ per cell, D(E_F) 2.364 states/eV/atom. Number 2: ΔE_f 0.8 eV per formula unit, calculated volume 523 Å³ per cell, D(E_F) 1.851 states/eV/atom. Number 3: ΔE_f 0.4 eV per formula unit, calculated volume 84 Å³ per cell, D(E_F) 2.362 states/eV/atom. Number 4: ΔE_f 0.4 eV per formula unit, calculated volume 313 Å³ per cell, D(E_F) 2.277 states/eV/atom.